A plane-wave DFT calculation with GGA+U was carried out for an optimized crystal structure of TiCrRuO6. Values from VASP.

Quantum ESPRESSO input file:
```
&SYSTEM
  ibrav = 0, nat = 18, ntyp = 4
/
ATOMIC_SPECIES
Ti 47.87 Ti.upf
Cr 52.00 Cr.upf
Ru 101.07 Ru.upf
O 16.00 O.upf
ATOMIC_POSITIONS angstrom
Ti 2.4946 1.4402 2.1703
Ti 0.0000 2.8805 6.5108
Cr 0.0000 2.8805 2.1703
Cr 2.4946 1.4402 6.5108
Ru 0.0000 0.0000 0.0000
Ru 0.0000 0.0000 4.3405
O 1.6914 2.8866 1.1073
O 4.1488 1.4126 1.1073
O -0.8511 4.2992 5.4478
O -1.6542 2.9081 7.5738
O 0.8404 1.4126 3.2333
O 3.2977 2.8866 3.2333
O 0.8511 4.2992 7.5738
O 3.3456 0.0215 3.2333
O -0.8031 1.4341 5.4478
O 1.6435 0.0215 1.1073
O 1.6542 2.9081 5.4478
O 0.8031 1.4341 7.5738
CELL_PARAMETERS angstrom
4.9891 0.0000 0.0000
-2.4946 4.3207 0.0000
0.0000 0.0000 8.6811
```

## Properties
As for the crystal system: trigonal. As for the space group: P-31c, No. 163. Its size of the total moment is 1.0 μB per cell. The value obtained for the energy is -7.85 eV per atom.